{"formula": "YRhSe3", "functional": "meta-GGA SCAN", "state": "single point on PBEsol structure", "lattice_angstrom": [[-3.514, -3.933, 0.488], [3.787, -3.141, 1.960], [-1.166, 1.649, 4.896]], "species": ["Y", "Rh", "Se", "Se", "Se"], "frac_coords": [[0.000, 0.000, 0.000], [0.500, 0.500, 0.500], [0.000, 0.500, 0.000], [0.000, 0.000, 0.500], [0.500, 0.000, 0.000]], "e_above_lowest_polymorph_ev_per_atom": 0.8309, "e_form_raw_ev_per_fu": 0.972, "dos_ef_per_ev_atom": 0.90}

---

{"formula": "ZrScRh2", "functional": "meta-GGA SCAN", "state": "single point on PBEsol structure", "lattice_angstrom": [[3.235, 0.000, 0.000], [0.000, 4.544, 0.077], [0.000, -0.076, 4.544]], "species": ["Sc", "Rh", "Rh", "Zr"], "frac_coords": [[0.500, 0.500, 0.500], [0.000, 0.000, 0.500], [0.000, 0.500, 0.000], [0.500, 0.000, 0.000]], "e_tot_ev_per_atom": -29.150, "dos_ef_per_ev_atom": 0.71}

---

{"formula": "IrSe2Br", "functional": "meta-GGA SCAN", "state": "single point on PBEsol structure", "lattice_angstrom": [[3.486, 0.000, 0.000], [1.743, 4.476, -0.149], [1.743, 1.649, 6.088]], "species": ["Br", "Ir", "Se", "Se"], "frac_coords": [[0.586, 0.387, 0.441], [0.214, 0.434, 0.139], [0.960, 0.034, 0.045], [0.740, 0.645, 0.875]], "e_above_lowest_polymorph_ev_per_atom": 0.3216, "e_form_raw_ev_per_fu": 0.155, "dos_ef_per_ev_atom": 0.30}

---

{"formula": "Zn2SnHgMo", "functional": "meta-GGA SCAN", "state": "single point on PBEsol structure", "lattice_angstrom": [[4.721, 0.000, 0.000], [0.000, 4.721, 0.000], [0.000, 0.000, 5.309]], "species": ["Zn", "Zn", "Mo", "Hg", "Sn"], "frac_coords": [[0.000, 0.500, 0.000], [0.500, 0.000, 0.000], [0.000, 0.000, 0.500], [0.000, 0.000, 0.000], [0.500, 0.500, 0.500]], "e_tot_ev_per_atom": -32.188, "dos_ef_per_ev_atom": 0.62}

---

{"formula": "LiMoOs2", "functional": "meta-GGA SCAN", "state": "single point on PBEsol structure", "lattice_angstrom": [[-1.594, -2.155, 0.426], [-1.030, -1.365, -2.108], [6.334, -6.518, -0.622]], "species": ["Li", "Mo", "Os", "Os"], "frac_coords": [[0.500, 0.500, 0.500], [0.000, 0.000, 0.000], [0.252, 0.252, 0.244], [0.748, 0.748, 0.756]], "e_above_lowest_polymorph_ev_per_atom": 0.1301, "dos_ef_per_ev_atom": 0.72}

---

{"formula": "ZnOsPt2", "functional": "meta-GGA SCAN", "state": "single point on PBEsol structure", "lattice_angstrom": [[2.706, 0.000, 0.000], [0.000, 4.736, 0.010], [0.000, -1.637, 4.444]], "species": ["Os", "Pt", "Pt", "Zn"], "frac_coords": [[0.500, 0.500, 0.500], [0.000, 0.500, 0.000], [0.000, 0.000, 0.500], [0.500, 0.000, 0.000]], "e_tot_ev_per_atom": -56.583, "dos_ef_per_ev_atom": 0.65}

---

{"formula": "Cs2Hg3Se4", "functional": "meta-GGA SCAN", "state": "single point on PBEsol structure", "lattice_angstrom": [[6.521, 0.000, 0.000], [3.260, 9.419, -0.119], [3.260, 1.711, 9.263]], "species": ["Cs", "Cs", "Cs", "Cs", "Hg", "Hg", "Hg", "Hg", "Hg", "Hg", "Se", "Se", "Se", "Se", "Se", "Se", "Se", "Se"], "frac_coords": [[0.230, 0.617, 0.383], [0.770, 0.383, 0.617], [0.270, 0.117, 0.883], [0.730, 0.883, 0.117], [0.250, 0.750, 0.750], [0.750, 0.250, 0.250], [0.250, 0.064, 0.436], [0.250, 0.436, 0.064], [0.750, 0.936, 0.564], [0.750, 0.564, 0.936], [0.925, 0.997, 0.725], [0.353, 0.725, 0.997], [0.575, 0.775, 0.503], [0.147, 0.503, 0.775], [0.075, 0.003, 0.275], [0.647, 0.275, 0.003], [0.425, 0.225, 0.497], [0.853, 0.497, 0.225]], "e_form_raw_ev_per_fu": -6.305}

---

{"formula": "ZnAsIr2", "functional": "meta-GGA SCAN", "state": "single point on PBEsol structure", "lattice_angstrom": [[2.830, 0.000, -0.001], [0.000, 4.254, 0.000], [-0.007, 0.000, 4.872]], "species": ["As", "Ir", "Ir", "Zn"], "frac_coords": [[0.000, 0.500, 0.000], [0.768, 0.000, 0.749], [0.232, 0.000, 0.251], [0.500, 0.500, 0.500]], "e_above_lowest_polymorph_ev_per_atom": 0.1884, "dos_ef_per_ev_atom": 0.55}

---

{"formula": "LiSb3", "functional": "meta-GGA SCAN", "state": "single point on PBEsol structure", "lattice_angstrom": [[3.174, 0.081, 0.000], [-0.511, 3.134, 0.000], [0.000, 0.000, 9.350]], "species": ["Sb", "Sb", "Sb", "Li"], "frac_coords": [[0.500, 0.500, 0.788], [0.000, 0.000, 0.500], [0.500, 0.500, 0.212], [0.000, 0.000, 0.000]], "e_above_lowest_polymorph_ev_per_atom": 0.1471, "e_form_raw_ev_per_fu": -0.069, "dos_ef_per_ev_atom": 0.47}

---

{"formula": "SrLa2Ag2", "functional": "meta-GGA SCAN", "state": "single point on PBEsol structure", "lattice_angstrom": [[-2.524, 1.420, 2.717], [4.030, -4.585, 6.141], [5.333, 6.660, 1.472]], "species": ["Sr", "Sr", "Ag", "Ag", "Ag", "Ag", "La", "La", "La", "La"], "frac_coords": [[0.000, 0.000, 0.000], [0.000, 0.500, 0.500], [0.000, 0.376, 0.876], [0.000, 0.876, 0.624], [0.000, 0.624, 0.124], [0.000, 0.124, 0.376], [0.500, 0.161, 0.661], [0.500, 0.661, 0.839], [0.500, 0.839, 0.339], [0.500, 0.339, 0.161]], "e_tot_ev_per_atom": -34.452, "dos_ef_per_ev_atom": 1.16}

---

{"formula": "Zn3Au", "functional": "meta-GGA SCAN", "state": "single point on PBEsol structure", "lattice_angstrom": [[2.883, 0.000, 0.000], [0.000, 4.314, 0.000], [0.000, 0.000, 4.714]], "species": ["Zn", "Zn", "Zn", "Au"], "frac_coords": [[0.000, 0.500, 0.343], [0.500, 0.000, 0.495], [0.500, 0.500, 0.826], [0.000, 0.000, 0.002]], "e_tot_ev_per_atom": -27.584, "dos_ef_per_ev_atom": 0.22}

---

{"formula": "BaTaRe2", "functional": "meta-GGA SCAN", "state": "single point on PBEsol structure", "lattice_angstrom": [[3.136, 0.000, 0.000], [-1.568, 4.845, 0.010], [0.000, -1.352, 6.043]], "species": ["Re", "Re", "Ba", "Ta"], "frac_coords": [[0.963, 0.926, 0.884], [0.257, 0.514, 0.763], [0.741, 0.482, 0.242], [0.539, 0.078, 0.611]], "e_tot_ev_per_atom": -61.332, "dos_ef_per_ev_atom": 0.92}

---

{"formula": "CoPRh2", "functional": "meta-GGA SCAN", "state": "single point on PBEsol structure", "lattice_angstrom": [[-1.803, -0.188, 2.058], [3.184, -0.779, 2.719], [-0.369, 4.242, 0.064]], "species": ["Co", "P", "Rh", "Rh"], "frac_coords": [[0.500, 0.000, 0.000], [0.500, 0.500, 0.500], [0.000, 0.500, 0.000], [0.000, 0.000, 0.500]], "e_tot_ev_per_atom": -23.893, "dos_ef_per_ev_atom": 0.71}

---

{"formula": "NbB3Br", "functional": "meta-GGA SCAN", "state": "single point on PBEsol structure", "lattice_angstrom": [[4.009, 0.000, 0.000], [0.000, 4.009, 0.000], [0.000, 0.000, 4.009]], "species": ["Nb", "B", "B", "B", "Br"], "frac_coords": [[0.500, 0.500, 0.500], [0.000, 0.500, 0.000], [0.000, 0.000, 0.500], [0.500, 0.000, 0.000], [0.000, 0.000, 0.000]], "e_form_raw_ev_per_fu": 12.374, "dos_ef_per_ev_atom": 0.56}

---

{"formula": "MgTe2W", "functional": "meta-GGA SCAN", "state": "single point on PBEsol structure", "lattice_angstrom": [[4.188, 0.000, 0.000], [0.000, 4.188, 0.000], [-2.094, -2.094, 4.794]], "species": ["Mg", "Te", "Te", "W"], "frac_coords": [[0.250, 0.750, 0.500], [0.000, 0.000, 0.000], [0.750, 0.250, 0.500], [0.500, 0.500, 0.000]], "e_form_raw_ev_per_fu": 3.051, "dos_ef_per_ev_atom": 0.63}

---

{"formula": "Li2ReW", "functional": "meta-GGA SCAN", "state": "single point on PBEsol structure", "lattice_angstrom": [[2.899, 0.000, 0.000], [0.000, 4.245, 0.000], [0.000, 0.000, 4.781]], "species": ["Li", "Li", "Re", "W"], "frac_coords": [[0.000, 0.000, 0.000], [0.500, 0.500, 0.000], [0.500, 0.000, 0.500], [0.000, 0.500, 0.500]], "e_above_lowest_polymorph_ev_per_atom": 0.1340, "dos_ef_per_ev_atom": 0.47}

---

{"formula": "IrRh2Br", "functional": "meta-GGA SCAN", "state": "single point on PBEsol structure", "lattice_angstrom": [[-0.204, -2.051, -1.838], [-2.935, -2.246, 2.831], [-3.597, 2.163, -2.014]], "species": ["Ir", "Rh", "Rh", "Br"], "frac_coords": [[0.500, 0.000, 0.000], [0.000, 0.000, 0.500], [0.000, 0.500, 0.000], [0.500, 0.500, 0.500]], "e_above_lowest_polymorph_ev_per_atom": 0.0798, "e_form_raw_ev_per_fu": 2.973, "dos_ef_per_ev_atom": 1.24}

---

{"formula": "Mg2CoTe", "functional": "meta-GGA SCAN", "state": "single point on PBEsol structure", "lattice_angstrom": [[4.661, 0.000, 0.000], [2.330, 6.843, 0.000], [2.330, 0.000, 6.843]], "species": ["Mg", "Mg", "Mg", "Mg", "Te", "Te", "Co", "Co"], "frac_coords": [[0.875, 0.750, 0.750], [0.375, 0.250, 0.250], [0.375, 0.750, 0.250], [0.375, 0.250, 0.750], [0.000, 0.000, 0.000], [0.750, 0.500, 0.500], [0.500, 0.000, 0.000], [0.250, 0.500, 0.500]], "e_form_raw_ev_per_fu": 0.686, "dos_ef_per_ev_atom": 0.35}

---

{"formula": "BaLiAsSe2", "functional": "meta-GGA SCAN", "state": "single point on PBEsol structure", "lattice_angstrom": [[-3.516, -2.879, -0.657], [-0.182, -0.903, 4.929], [-3.220, 3.800, 0.577]], "species": ["As", "Ba", "Se", "Se", "Li"], "frac_coords": [[0.500, 0.000, 0.000], [0.500, 0.500, 0.500], [0.000, 0.000, 0.500], [0.000, 0.500, 0.000], [0.000, 0.000, 0.000]], "e_form_raw_ev_per_fu": -3.752, "dos_ef_per_ev_atom": 0.63}

---

{"formula": "Mg2ZnIr", "functional": "meta-GGA SCAN", "state": "single point on PBEsol structure", "lattice_angstrom": [[4.024, 0.000, 0.000], [0.000, 4.024, 0.000], [-2.012, -2.012, 3.816]], "species": ["Zn", "Ir", "Mg", "Mg"], "frac_coords": [[0.500, 0.500, 0.000], [0.000, 0.000, 0.000], [0.250, 0.750, 0.500], [0.750, 0.250, 0.500]], "e_tot_ev_per_atom": -23.996, "dos_ef_per_ev_atom": 0.37}

---

{"formula": "ScSbAu2", "functional": "meta-GGA SCAN", "state": "single point on PBEsol structure", "lattice_angstrom": [[-1.428, 2.920, 1.579], [-3.375, -1.005, -1.194], [-0.831, -3.077, 4.939]], "species": ["Au", "Au", "Sb", "Sc"], "frac_coords": [[0.000, 0.000, 0.736], [0.000, 0.000, 0.264], [0.500, 0.500, 0.000], [0.500, 0.500, 0.500]], "e_form_raw_ev_per_fu": -2.494, "dos_ef_per_ev_atom": 0.41}

---

{"formula": "KScAl2", "functional": "meta-GGA SCAN", "state": "single point on PBEsol structure", "lattice_angstrom": [[3.005, 0.000, 0.000], [0.000, 5.561, 0.000], [-1.503, -2.781, 5.661]], "species": ["Sc", "K", "Al", "Al"], "frac_coords": [[0.287, 0.787, 0.574], [0.486, 0.486, 0.972], [0.012, 0.012, 0.025], [0.715, 0.215, 0.430]], "e_above_lowest_polymorph_ev_per_atom": 0.2533, "dos_ef_per_ev_atom": 0.54}

---

{"formula": "YScNb2I", "functional": "meta-GGA SCAN", "state": "single point on PBEsol structure", "lattice_angstrom": [[-3.141, -1.164, -3.789], [0.712, -4.921, 0.921], [-3.950, 0.039, 3.262]], "species": ["I", "Y", "Nb", "Nb", "Sc"], "frac_coords": [[0.000, 0.000, 0.000], [0.500, 0.500, 0.500], [0.000, 0.500, 0.000], [0.500, 0.000, 0.000], [0.000, 0.000, 0.500]], "e_form_raw_ev_per_fu": 4.329, "dos_ef_per_ev_atom": 0.93}

---

{"formula": "MgAg2Au", "functional": "meta-GGA SCAN", "state": "single point on PBEsol structure", "lattice_angstrom": [[-1.401, -2.595, -0.667], [2.138, -0.321, -3.242], [4.016, -2.923, 2.938]], "species": ["Mg", "Au", "Ag", "Ag"], "frac_coords": [[0.000, 0.500, 0.257], [0.500, 0.000, 0.493], [0.500, 0.000, 0.996], [0.000, 0.500, 0.755]], "e_tot_ev_per_atom": -34.509, "dos_ef_per_ev_atom": 0.28}

---

{"formula": "ZrH7CN4F5", "functional": "meta-GGA SCAN", "state": "single point on PBEsol structure", "lattice_angstrom": [[-2.888, -2.377, 5.506], [2.570, -6.262, -1.355], [12.997, 3.530, 8.340]], "species": ["C", "C", "C", "C", "F", "F", "F", "F", "F", "F", "F", "F", "F", "F", "F", "F", "F", "F", "F", "F", "F", "F", "F", "F", "H", "H", "H", "H", "H", "H", "H", "H", "H", "H", "H", "H", "H", "H", "H", "H", "H", "H", "H", "H", "H", "H", "H", "H", "H", "H", "H", "H", "N", "N", "N", "N", "N", "N", "N", "N", "N", "N", "N", "N", "N", "N", "N", "N", "Zr", "Zr", "Zr", "Zr"], "frac_coords": [[0.107, 0.250, 0.556], [0.393, 0.750, 0.056], [0.893, 0.750, 0.444], [0.607, 0.250, 0.944], [0.356, 0.250, 0.182], [0.144, 0.750, 0.682], [0.644, 0.750, 0.818], [0.856, 0.250, 0.318], [0.232, 0.250, 0.322], [0.268, 0.750, 0.822], [0.768, 0.750, 0.678], [0.732, 0.250, 0.178], [0.049, 0.250, 0.083], [0.451, 0.750, 0.583], [0.951, 0.750, 0.917], [0.549, 0.250, 0.417], [0.032, 0.536, 0.216], [0.468, 0.464, 0.716], [0.968, 0.036, 0.784], [0.532, 0.964, 0.284], [0.968, 0.464, 0.784], [0.532, 0.536, 0.284], [0.032, 0.964, 0.216], [0.468, 0.036, 0.716], [0.066, 0.250, 0.685], [0.434, 0.750, 0.185], [0.934, 0.750, 0.315], [0.566, 0.250, 0.815], [0.234, 0.369, 0.847], [0.266, 0.631, 0.347], [0.766, 0.869, 0.153], [0.734, 0.131, 0.653], [0.766, 0.631, 0.153], [0.734, 0.369, 0.653], [0.234, 0.131, 0.847], [0.266, 0.869, 0.347], [0.374, 0.250, 0.619], [0.126, 0.750, 0.119], [0.626, 0.750, 0.381], [0.874, 0.250, 0.881], [0.396, 0.250, 0.508], [0.104, 0.750, 0.008], [0.604, 0.750, 0.492], [0.896, 0.250, 0.992], [0.085, 0.250, 0.426], [0.415, 0.750, 0.926], [0.915, 0.750, 0.574], [0.585, 0.250, 0.074], [0.857, 0.250, 0.484], [0.643, 0.750, 0.984], [0.143, 0.750, 0.516], [0.357, 0.250, 0.016], [0.998, 0.250, 0.627], [0.502, 0.750, 0.127], [0.002, 0.750, 0.373], [0.498, 0.250, 0.873], [0.290, 0.250, 0.878], [0.210, 0.750, 0.378], [0.710, 0.750, 0.122], [0.790, 0.250, 0.622], [0.306, 0.250, 0.561], [0.194, 0.750, 0.061], [0.694, 0.750, 0.439], [0.806, 0.250, 0.939], [0.011, 0.250, 0.482], [0.489, 0.750, 0.982], [0.989, 0.750, 0.518], [0.511, 0.250, 0.018], [0.048, 0.250, 0.208], [0.452, 0.750, 0.708], [0.952, 0.750, 0.792], [0.548, 0.250, 0.292]], "e_tot_ev_per_atom": -8.130, "dos_ef_per_ev_atom": 0.00}